Here is a relaxed structure of BeRh2 from Alexandria via LeMat-Bulk. Energies are from PBE.

Lattice parameters (Å, degrees): 5.487 5.487 4.788 90.00 90.00 90.00
Space group I4/mcm (No. 140)
Unique sites:
Be (0.000, 0.000, 0.250)
Rh (0.167, 0.333, 0.000)

Computed properties:
Energy ... -0.475 Ry per atom
Energy relative to the elements ... -0.321 eV/atom



Here is a relaxed structure of ZrScIr from Alexandria via LeMat-Bulk. Energies are from PBE.

Lattice parameters (Å, degrees): 4.5791 4.5791 3.0980 90.00 90.00 120.00
Space group P3m1 (No. 156)
Unique sites:
Zr (0.0000, 0.0000, 0.0000)
Sc (0.6667, 0.3333, 0.6039)
Ir (0.3333, 0.6667, 0.2907)

Computed properties:
Energy ... -0.622 Ry per atom
Energy relative to the elements ... -0.547 eV/atom
E above lowest polymorph ... 105 meV per atom